[1]
This record from Alexandria via LeMat-Bulk describes crystalline LiCd6Au12 at its relaxed geometry. The functional is GGA-PBE.

## Properties
Magnetization, μB/f.u.: 0.0
VASP energy, eV/atom: -2.626
Formation energy from the elements, eV/atom: -0.166
Energy relative to the lowest polymorph listed for this composition, meV/atom: 0

Structure (CIF):
```
data_LiCd6Au12
_chemical_formula_sum 'Li3 Cd18 Au36'
_cell_length_a 12.3094
_cell_length_b 12.3094
_cell_length_c 8.6521
_cell_angle_alpha 90.00
_cell_angle_beta 90.00
_cell_angle_gamma 120.00
_space_group_name_H-M_alt 'R -3'
_space_group_IT_number 148
_space_group_name_Hall '-R 3'
loop_
_atom_site_label
_atom_site_type_symbol
_atom_site_fract_x
_atom_site_fract_y
_atom_site_fract_z
_atom_site_occupancy
Li1 Li 0.0000 0.0000 0.0000 1
Cd1 Cd 0.0534 0.8351 0.7485 1
Au1 Au 0.0575 0.8209 0.0803 1
Au2 Au 0.0581 0.8258 0.4180 1
```



[2]
This record from Alexandria via LeMat-Bulk describes crystalline Pm2Zn2Pd5Rh at its relaxed geometry. The functional is GGA-PBE.

## Properties
Magnetization, μB/f.u.: 0.0
VASP energy, eV/atom: -5.076
Formation energy from the elements, eV/atom: -0.539

Structure (CIF):
```
data_Pm2Zn2Pd5Rh
_chemical_formula_sum 'Pm4 Zn4 Pd10 Rh2'
_cell_length_a 9.578
_cell_length_b 9.578
_cell_length_c 3.905
_cell_angle_alpha 90.00
_cell_angle_beta 90.00
_cell_angle_gamma 90.00
_space_group_name_H-M_alt 'P 4/m b m'
_space_group_IT_number 127
_space_group_name_Hall '-P 4 2ab'
loop_
_atom_site_label
_atom_site_type_symbol
_atom_site_fract_x
_atom_site_fract_y
_atom_site_fract_z
_atom_site_occupancy
Pm1 Pm 0.182 0.318 0.000 1
Zn1 Zn 0.116 0.616 0.000 1
Pd1 Pd 0.000 0.500 0.500 1
Pd2 Pd 0.065 0.795 0.500 1
Rh1 Rh 0.000 0.000 0.000 1
```



[3]
This record from Alexandria via LeMat-Bulk describes crystalline Sc2AlTe at its relaxed geometry. The functional is GGA-PBE.

## Properties
Magnetization, μB/f.u.: 0.0
VASP energy, eV/atom: -5.434
Energy relative to the lowest polymorph listed for this composition, meV/atom: 82

Structure (CIF):
```
data_Sc2AlTe
_chemical_formula_sum 'Sc2 Al1 Te1'
_cell_length_a 4.053
_cell_length_b 4.053
_cell_length_c 5.839
_cell_angle_alpha 90.00
_cell_angle_beta 90.00
_cell_angle_gamma 90.00
_space_group_name_H-M_alt 'P 4 m m'
_space_group_IT_number 99
_space_group_name_Hall 'P 4 -2'
loop_
_atom_site_label
_atom_site_type_symbol
_atom_site_fract_x
_atom_site_fract_y
_atom_site_fract_z
_atom_site_occupancy
Sc1 Sc 0.000 0.000 0.000 1
Sc2 Sc 0.500 0.500 0.407 1
Al1 Al 0.500 0.500 0.928 1
Te1 Te 0.000 0.000 0.503 1
```



Look up the VASP energy of the second one. -5.076 eV/atom



What is the magnetization in the first record? 0.0 μB/f.u.



What is the VASP energy in the second record? -5.076 eV/atom



The highest VASP energy belongs to which entry? LiCd6Au12